This record from OQMD via LeMat-Bulk describes an optimized crystal structure of Co3Pb. The functional is PBE.

abc: 5.566 5.566 4.206
angles: 90.00 90.00 120.00
Fractional positions:
Co1 0.148 0.295 0.250
Co2 0.148 0.852 0.250
Co3 0.295 0.148 0.750
Co4 0.705 0.852 0.250
Co5 0.852 0.148 0.750
Co6 0.852 0.705 0.750
Pb1 0.333 0.667 0.750
Pb2 0.667 0.333 0.250

Summary:
- magnetization (μB/f.u.) = 4.3
- total DFT energy (no corrections) (hartree per atom) = -0.215



This record from OQMD via LeMat-Bulk describes an optimized crystal structure of Co17Pb. The functional is PBE.

abc: 4.276 4.928 31.326
angles: 90.00 90.02 90.00
Fractional positions:
Co1 0.000 0.000 0.000
Co2 0.000 0.500 0.000
Co3 0.001 0.003 0.806
Co4 0.001 0.497 0.806
Co5 0.164 0.250 0.130
Co6 0.166 0.250 0.936
Co7 0.166 0.750 0.744
Co8 0.167 0.750 0.935
Co9 0.171 0.750 0.129
Co10 0.332 0.004 0.256
Co11 0.332 0.496 0.256
Co12 0.333 0.000 0.065
Co13 0.333 0.001 0.871
Co14 0.333 0.499 0.871
Co15 0.333 0.500 0.065
Co16 0.498 0.750 0.807
Co17 0.499 0.250 0.806
Co18 0.500 0.250 0.000
Co19 0.500 0.750 0.000
Co20 0.501 0.750 0.194
Co21 0.502 0.250 0.193
Co22 0.667 0.000 0.935
Co23 0.667 0.500 0.935
Co24 0.667 0.501 0.129
Co25 0.667 0.999 0.129
Co26 0.668 0.504 0.744
Co27 0.668 0.996 0.744
Co28 0.829 0.250 0.871
Co29 0.833 0.250 0.065
Co30 0.834 0.250 0.256
Co31 0.834 0.750 0.064
Co32 0.836 0.750 0.870
Co33 0.999 0.503 0.194
Co34 0.999 0.997 0.194
Pb1 0.167 0.250 0.707
Pb2 0.833 0.750 0.293

Summary:
- magnetization (μB/f.u.) = 27.4
- total DFT energy (no corrections) (hartree per atom) = -0.249



This record from OQMD via LeMat-Bulk describes an optimized crystal structure of Co15Pb. The functional is PBE.

abc: 4.283 33.574 4.284
angles: 90.00 109.20 90.00
Fractional positions:
Co1 0.000 0.018 0.250
Co2 0.000 0.055 0.750
Co3 0.000 0.091 0.250
Co4 0.000 0.128 0.750
Co5 0.000 0.165 0.250
Co6 0.000 0.200 0.750
Co7 0.000 0.239 0.250
Co8 0.000 0.271 0.750
Co9 0.000 0.729 0.250
Co10 0.000 0.761 0.750
Co11 0.000 0.800 0.250
Co12 0.000 0.835 0.750
Co13 0.000 0.872 0.250
Co14 0.000 0.909 0.750
Co15 0.000 0.945 0.250
Co16 0.000 0.982 0.750
Co17 0.500 0.018 0.750
Co18 0.500 0.055 0.250
Co19 0.500 0.091 0.750
Co20 0.500 0.129 0.250
Co21 0.500 0.165 0.750
Co22 0.500 0.203 0.250
Co23 0.500 0.239 0.750
Co24 0.500 0.761 0.250
Co25 0.500 0.797 0.750
Co26 0.500 0.835 0.250
Co27 0.500 0.871 0.750
Co28 0.500 0.909 0.250
Co29 0.500 0.945 0.750
Co30 0.500 0.982 0.250
Pb1 0.500 0.299 0.250
Pb2 0.500 0.701 0.750

Summary:
- magnetization (μB/f.u.) = 23.9
- total DFT energy (no corrections) (hartree per atom) = -0.249
- distance to the lowest polymorph of the same formula (meV/atom) = 0.0



This record from OQMD via LeMat-Bulk describes an optimized crystal structure of Co9Pb. The functional is PBE.

abc: 2.710 2.710 41.829
angles: 90.00 90.00 90.00
Fractional positions:
Co1 0.250 0.250 0.018
Co2 0.250 0.250 0.089
Co3 0.250 0.250 0.161
Co4 0.250 0.250 0.233
Co5 0.250 0.250 0.306
Co6 0.250 0.250 0.729
Co7 0.250 0.250 0.803
Co8 0.250 0.250 0.875
Co9 0.250 0.250 0.946
Co10 0.750 0.750 0.054
Co11 0.750 0.750 0.125
Co12 0.750 0.750 0.197
Co13 0.750 0.750 0.271
Co14 0.750 0.750 0.694
Co15 0.750 0.750 0.767
Co16 0.750 0.750 0.839
Co17 0.750 0.750 0.911
Co18 0.750 0.750 0.982
Pb1 0.250 0.250 0.641
Pb2 0.750 0.750 0.359

Summary:
- magnetization (μB/f.u.) = 15.1
- total DFT energy (no corrections) (hartree per atom) = -0.240
- distance to the lowest polymorph of the same formula (meV/atom) = 69.9



This record from OQMD via LeMat-Bulk describes an optimized crystal structure of Co17Pb. The functional is PBE.

abc: 4.937 4.937 30.775
angles: 90.00 90.00 120.00
Fractional positions:
Co1 0.000 0.000 0.000
Co2 0.000 0.000 0.198
Co3 0.000 0.000 0.802
Co4 0.000 0.500 0.000
Co5 0.001 0.501 0.198
Co6 0.166 0.332 0.131
Co7 0.166 0.834 0.131
Co8 0.167 0.333 0.934
Co9 0.167 0.334 0.739
Co10 0.167 0.833 0.739
Co11 0.167 0.833 0.934
Co12 0.332 0.166 0.869
Co13 0.333 0.167 0.066
Co14 0.333 0.667 0.066
Co15 0.333 0.667 0.867
Co16 0.334 0.167 0.261
Co17 0.499 0.501 0.198
Co18 0.499 0.999 0.198
Co19 0.500 0.000 0.000
Co20 0.500 0.500 0.000
Co21 0.501 0.001 0.802
Co22 0.501 0.499 0.802
Co23 0.666 0.833 0.739
Co24 0.667 0.333 0.133
Co25 0.667 0.333 0.934
Co26 0.667 0.833 0.934
Co27 0.668 0.834 0.131
Co28 0.833 0.167 0.066
Co29 0.833 0.167 0.261
Co30 0.833 0.666 0.261
Co31 0.833 0.667 0.066
Co32 0.834 0.166 0.869
Co33 0.834 0.668 0.869
Co34 0.999 0.499 0.802
Pb1 0.333 0.667 0.299
Pb2 0.667 0.333 0.701

Summary:
- magnetization (μB/f.u.) = 27.4
- total DFT energy (no corrections) (hartree per atom) = -0.249



This record from OQMD via LeMat-Bulk describes an optimized crystal structure of Co8Pb. The functional is PBE.

abc: 4.285 4.285 28.676
angles: 90.03 90.03 48.29
Fractional positions:
Co1 0.049 0.049 0.096
Co2 0.049 0.049 0.824
Co3 0.150 0.150 0.014
Co4 0.251 0.251 0.932
Co5 0.252 0.252 0.202
Co6 0.349 0.349 0.850
Co7 0.351 0.351 0.123
Co8 0.450 0.450 0.041
Co9 0.550 0.550 0.959
Co10 0.649 0.649 0.877
Co11 0.651 0.651 0.150
Co12 0.748 0.748 0.798
Co13 0.749 0.749 0.068
Co14 0.850 0.850 0.986
Co15 0.951 0.951 0.176
Co16 0.951 0.951 0.904
Pb1 0.452 0.452 0.748
Pb2 0.548 0.548 0.252

Summary:
- magnetization (μB/f.u.) = 12.5
- total DFT energy (no corrections) (hartree per atom) = -0.243



This record from OQMD via LeMat-Bulk describes an optimized crystal structure of Co9Pb2. The functional is PBE.

abc: 2.839 2.839 31.995
angles: 90.00 90.00 120.00
Fractional positions:
Co1 0.000 0.000 0.000
Co2 0.000 0.000 0.170
Co3 0.000 0.000 0.830
Co4 0.333 0.667 0.113
Co5 0.333 0.667 0.774
Co6 0.333 0.667 0.943
Co7 0.667 0.333 0.057
Co8 0.667 0.333 0.226
Co9 0.667 0.333 0.887
Pb1 0.333 0.667 0.301
Pb2 0.667 0.333 0.699

Summary:
- magnetization (μB/f.u.) = 15.8
- total DFT energy (no corrections) (hartree per atom) = -0.217



This record from OQMD via LeMat-Bulk describes an optimized crystal structure of Co7Pb. The functional is PBE.

abc: 2.724 3.235 31.371
angles: 90.00 90.00 90.00
Fractional positions:
Co1 0.000 0.000 0.000
Co2 0.000 0.000 0.079
Co3 0.000 0.000 0.159
Co4 0.000 0.000 0.240
Co5 0.000 0.000 0.320
Co6 0.000 0.000 0.400
Co7 0.000 0.000 0.480
Co8 0.500 0.500 0.038
Co9 0.500 0.500 0.119
Co10 0.500 0.500 0.199
Co11 0.500 0.500 0.279
Co12 0.500 0.500 0.360
Co13 0.500 0.500 0.439
Co14 0.500 0.500 0.519
Pb1 0.000 0.000 0.582
Pb2 0.500 0.500 0.937

Summary:
- magnetization (μB/f.u.) = 11.5
- total DFT energy (no corrections) (hartree per atom) = -0.239



This record from OQMD via LeMat-Bulk describes an optimized crystal structure of CoPd2Pb. The functional is PBE.

abc: 4.502 4.502 4.502
angles: 60.00 60.00 60.00
Fractional positions:
Co1 0.000 0.000 0.000
Pd1 0.250 0.250 0.250
Pd2 0.500 0.500 0.500
Pb1 0.750 0.750 0.750

Summary:
- magnetization (μB/f.u.) = 0.0
- total DFT energy (no corrections) (hartree per atom) = -0.191



This record from OQMD via LeMat-Bulk describes an optimized crystal structure of CoPdPb. The functional is PBE.

abc: 4.354 4.354 4.354
angles: 60.00 60.00 60.00
Fractional positions:
Co1 0.000 0.000 0.000
Pd1 0.500 0.500 0.500
Pb1 0.250 0.250 0.250

Summary:
- magnetization (μB/f.u.) = 0.2
- total DFT energy (no corrections) (hartree per atom) = -0.179



This record from OQMD via LeMat-Bulk describes an optimized crystal structure of CoPdPb2. The functional is PBE.

abc: 4.866 4.866 4.866
angles: 60.00 60.00 60.00
Fractional positions:
Co1 0.000 0.000 0.000
Pd1 0.750 0.750 0.750
Pb1 0.250 0.250 0.250
Pb2 0.500 0.500 0.500

Summary:
- magnetization (μB/f.u.) = 1.1
- total DFT energy (no corrections) (hartree per atom) = -0.162



This record from OQMD via LeMat-Bulk describes an optimized crystal structure of CoPdPtPb. The functional is PBE.

abc: 4.533 4.533 4.533
angles: 60.00 60.00 60.00
Fractional positions:
Co1 0.000 0.000 0.000
Pd1 0.500 0.500 0.500
Pt1 0.250 0.250 0.250
Pb1 0.750 0.750 0.750

Summary:
- magnetization (μB/f.u.) = 1.4
- total DFT energy (no corrections) (hartree per atom) = -0.198
- distance to the lowest polymorph of the same formula (meV/atom) = 0.0



This record from OQMD via LeMat-Bulk describes an optimized crystal structure of TaCoPdPb. The functional is PBE.

abc: 4.572 4.572 4.572
angles: 60.00 60.00 60.00
Fractional positions:
Ta1 0.000 0.000 0.000
Co1 0.500 0.500 0.500
Pd1 0.750 0.750 0.750
Pb1 0.250 0.250 0.250

Summary:
- magnetization (μB/f.u.) = 0.6
- total DFT energy (no corrections) (hartree per atom) = -0.243
- distance to the lowest polymorph of the same formula (meV/atom) = 173.5



This record from OQMD via LeMat-Bulk describes an optimized crystal structure of TaCoPdPb. The functional is PBE.

abc: 4.557 4.557 4.557
angles: 60.00 60.00 60.00
Fractional positions:
Ta1 0.000 0.000 0.000
Co1 0.750 0.750 0.750
Pd1 0.250 0.250 0.250
Pb1 0.500 0.500 0.500

Summary:
- magnetization (μB/f.u.) = 0.1
- total DFT energy (no corrections) (hartree per atom) = -0.249
- distance to the lowest polymorph of the same formula (meV/atom) = 0.0



This record from OQMD via LeMat-Bulk describes an optimized crystal structure of CoPdPbW. The functional is PBE.

abc: 4.516 4.516 4.516
angles: 60.00 60.00 60.00
Fractional positions:
Co1 0.000 0.000 0.000
Pd1 0.250 0.250 0.250
Pb1 0.750 0.750 0.750
W1 0.500 0.500 0.500

Summary:
- magnetization (μB/f.u.) = 0.4
- total DFT energy (no corrections) (hartree per atom) = -0.241
- distance to the lowest polymorph of the same formula (meV/atom) = 62.5



This record from OQMD via LeMat-Bulk describes an optimized crystal structure of CoPdPbW. The functional is PBE.

abc: 4.515 4.515 4.515
angles: 60.00 60.00 60.00
Fractional positions:
Co1 0.000 0.000 0.000
Pd1 0.500 0.500 0.500
Pb1 0.750 0.750 0.750
W1 0.250 0.250 0.250

Summary:
- magnetization (μB/f.u.) = 0.3
- total DFT energy (no corrections) (hartree per atom) = -0.243
- distance to the lowest polymorph of the same formula (meV/atom) = 0.0



This record from OQMD via LeMat-Bulk describes an optimized crystal structure of Pr5CoPb3. The functional is PBE.

abc: 9.595 9.595 6.960
angles: 90.00 90.00 120.00
Fractional positions:
Pr1 0.000 0.233 0.250
Pr2 0.000 0.767 0.750
Pr3 0.233 0.000 0.250
Pr4 0.233 0.233 0.750
Pr5 0.333 0.667 0.000
Pr6 0.333 0.667 0.500
Pr7 0.667 0.333 0.000
Pr8 0.667 0.333 0.500
Pr9 0.767 0.000 0.750
Pr10 0.767 0.767 0.250
Co1 0.000 0.000 0.000
Co2 0.000 0.000 0.500
Pb1 0.000 0.405 0.750
Pb2 0.000 0.595 0.250
Pb3 0.405 0.000 0.750
Pb4 0.405 0.405 0.250
Pb5 0.595 0.000 0.250
Pb6 0.595 0.595 0.750

Summary:
- magnetization (μB/f.u.) = 0.0
- total DFT energy (no corrections) (hartree per atom) = -0.188



This record from OQMD via LeMat-Bulk describes an optimized crystal structure of ZrCoPtPb. The functional is PBE.

abc: 4.666 4.666 4.666
angles: 60.00 60.00 60.00
Fractional positions:
Zr1 0.000 0.000 0.000
Co1 0.500 0.500 0.500
Pt1 0.750 0.750 0.750
Pb1 0.250 0.250 0.250

Summary:
- magnetization (μB/f.u.) = 0.2
- total DFT energy (no corrections) (hartree per atom) = -0.235
- distance to the lowest polymorph of the same formula (meV/atom) = 167.6



This record from OQMD via LeMat-Bulk describes an optimized crystal structure of ZrCoPtPb. The functional is PBE.

abc: 4.667 4.667 4.667
angles: 60.00 60.00 60.00
Fractional positions:
Zr1 0.000 0.000 0.000
Co1 0.750 0.750 0.750
Pt1 0.250 0.250 0.250
Pb1 0.500 0.500 0.500

Summary:
- magnetization (μB/f.u.) = 1.2
- total DFT energy (no corrections) (hartree per atom) = -0.242
- distance to the lowest polymorph of the same formula (meV/atom) = 0.0



This record from OQMD via LeMat-Bulk describes an optimized crystal structure of PuCoPb. The functional is PBE.

abc: 4.586 4.586 4.586
angles: 60.00 60.00 60.00
Fractional positions:
Pu1 0.000 0.000 0.000
Co1 0.750 0.750 0.750
Pb1 0.500 0.500 0.500

Summary:
- magnetization (μB/f.u.) = 5.0
- total DFT energy (no corrections) (hartree per atom) = -0.304



This record from OQMD via LeMat-Bulk describes an optimized crystal structure of TaCoRePb. The functional is PBE.

abc: 4.549 4.549 4.549
angles: 60.00 60.00 60.00
Fractional positions:
Ta1 0.000 0.000 0.000
Co1 0.750 0.750 0.750
Re1 0.250 0.250 0.250
Pb1 0.500 0.500 0.500

Summary:
- magnetization (μB/f.u.) = 1.0
- total DFT energy (no corrections) (hartree per atom) = -0.307
- distance to the lowest polymorph of the same formula (meV/atom) = 0.0